No. 1
La7PmAl4 after structural relaxation, computed with PBE. Values from VASP.

Geometry as Quantum ESPRESSO input:
```
&SYSTEM
  ibrav = 0, nat = 12, ntyp = 3
/
ATOMIC_SPECIES
La 138.91 La.upf
Pm 145.00 Pm.upf
Al 26.98 Al.upf
CELL_PARAMETERS angstrom
7.0696 -2.9020 0.0000
7.0696 2.9020 0.0000
-6.2539 0.0000 9.1030
ATOMIC_POSITIONS crystal
La 0.0000 0.0000 0.0000
La 0.1998 0.1998 0.6380
La 0.2958 0.2958 0.1192
La 0.4331 0.4331 0.6190
La 0.5669 0.5669 0.3810
La 0.7042 0.7042 0.8808
La 0.8002 0.8002 0.3620
Pm 0.5000 0.5000 0.0000
Al 0.0514 0.0514 0.7611
Al 0.1758 0.1758 0.3294
Al 0.8242 0.8242 0.6706
Al 0.9486 0.9486 0.2389
```

Summary:
Electronic total energy   -4.617 eV/atom
Energy of formation from the pure elements   -115.4 kJ/mol of formula units


No. 2
La2PmAl after structural relaxation, computed with PBE. Values from VASP.

Geometry as Quantum ESPRESSO input:
```
&SYSTEM
  ibrav = 0, nat = 4, ntyp = 3
/
ATOMIC_SPECIES
La 138.91 La.upf
Pm 145.00 Pm.upf
Al 26.98 Al.upf
CELL_PARAMETERS angstrom
4.9004 0.0000 0.0000
0.0000 4.9004 0.0000
0.0000 0.0000 5.0007
ATOMIC_POSITIONS crystal
La 0.0000 0.5000 0.0000
La 0.5000 0.0000 0.0000
Pm 0.0000 0.0000 0.5000
Al 0.5000 0.5000 0.5000
```

Summary:
ΔE to the lowest computed polymorph   14.4 meV per atom
Electronic total energy   -4.765 eV/atom
Energy of formation from the pure elements   -68.5 kJ/mol of formula units


No. 3
La2PmAl after structural relaxation, computed with PBE. Values from VASP.

Geometry as Quantum ESPRESSO input:
```
&SYSTEM
  ibrav = 0, nat = 8, ntyp = 3
/
ATOMIC_SPECIES
La 138.91 La.upf
Pm 145.00 Pm.upf
Al 26.98 Al.upf
CELL_PARAMETERS angstrom
-3.5044 4.9061 3.5065
3.5044 -4.9061 3.5065
3.5044 4.9061 -3.5065
ATOMIC_POSITIONS crystal
La 0.0000 0.0000 0.0000
La 0.5000 0.0000 0.0000
La 0.5000 0.0000 0.5000
La 0.5000 0.5000 0.5000
Pm 0.0000 0.0000 0.5000
Pm 0.0000 0.5000 0.0000
Al 0.0000 0.5000 0.5000
Al 0.5000 0.5000 0.0000
```

Summary:
ΔE to the lowest computed polymorph   12.8 meV per atom
Electronic total energy   -4.766 eV/atom
Energy of formation from the pure elements   -69.2 kJ/mol of formula units


No. 4
La2Pm2Al after structural relaxation, computed with PBE. Values from VASP.

Geometry as Quantum ESPRESSO input:
```
&SYSTEM
  ibrav = 0, nat = 10, ntyp = 3
/
ATOMIC_SPECIES
La 138.91 La.upf
Pm 145.00 Pm.upf
Al 26.98 Al.upf
CELL_PARAMETERS angstrom
4.3605 -4.7202 0.0000
4.3605 4.7202 0.0000
-3.6598 0.0000 7.6869
ATOMIC_POSITIONS crystal
La 0.1570 0.1570 0.4088
La 0.2810 0.2810 0.8826
La 0.7190 0.7190 0.1174
La 0.8430 0.8430 0.5912
Pm 0.2250 0.6055 0.2712
Pm 0.3945 0.7750 0.7288
Pm 0.6055 0.2250 0.2712
Pm 0.7750 0.3945 0.7288
Al 0.1511 0.8489 0.0000
Al 0.8489 0.1511 0.0000
```

Summary:
ΔE to the lowest computed polymorph   26.3 meV per atom
Electronic total energy   -4.718 eV/atom
Energy of formation from the pure elements   -47.6 kJ/mol of formula units


No. 5
La2PmAl after structural relaxation, computed with PBE. Values from VASP.

Geometry as Quantum ESPRESSO input:
```
&SYSTEM
  ibrav = 0, nat = 8, ntyp = 3
/
ATOMIC_SPECIES
La 138.91 La.upf
Pm 145.00 Pm.upf
Al 26.98 Al.upf
CELL_PARAMETERS angstrom
5.4301 0.0000 0.0000
0.0000 3.5958 6.1848
0.0000 -3.5958 6.1848
ATOMIC_POSITIONS crystal
La 0.0000 0.0000 0.0000
La 0.0000 0.0058 0.5430
La 0.0000 0.5430 0.0058
La 0.5000 0.3585 0.3585
Pm 0.5000 0.3583 0.8227
Pm 0.5000 0.8227 0.3583
Al 0.0000 0.5187 0.5187
Al 0.5000 0.8473 0.8473
```

Summary:
ΔE to the lowest computed polymorph   0.0 meV per atom
Electronic total energy   -4.779 eV/atom
Energy of formation from the pure elements   -74.1 kJ/mol of formula units


No. 6
LaPm2Al2 after structural relaxation, computed with PBE. Values from VASP.

Geometry as Quantum ESPRESSO input:
```
&SYSTEM
  ibrav = 0, nat = 10, ntyp = 3
/
ATOMIC_SPECIES
La 138.91 La.upf
Pm 145.00 Pm.upf
Al 26.98 Al.upf
CELL_PARAMETERS angstrom
5.7865 0.0000 0.0000
0.0000 3.8068 0.0000
-1.4272 0.0000 13.4652
ATOMIC_POSITIONS crystal
La 0.1771 0.2500 0.2327
La 0.8229 0.7500 0.7673
Pm 0.2403 0.7500 0.4607
Pm 0.3552 0.2500 0.8888
Pm 0.6448 0.7500 0.1112
Pm 0.7597 0.2500 0.5393
Al 0.1390 0.7500 0.0363
Al 0.2877 0.2500 0.6567
Al 0.7123 0.7500 0.3433
Al 0.8610 0.2500 0.9637
```

Summary:
ΔE to the lowest computed polymorph   125.7 meV per atom
Electronic total energy   -4.518 eV/atom
Energy of formation from the pure elements   -65.1 kJ/mol of formula units


No. 7
La2Pm4Al after structural relaxation, computed with PBE. Values from VASP.

Geometry as Quantum ESPRESSO input:
```
&SYSTEM
  ibrav = 0, nat = 7, ntyp = 3
/
ATOMIC_SPECIES
La 138.91 La.upf
Pm 145.00 Pm.upf
Al 26.98 Al.upf
CELL_PARAMETERS angstrom
3.4633 0.0000 0.0000
0.0000 7.4009 0.0000
0.0000 0.0000 9.1776
ATOMIC_POSITIONS crystal
La 0.0000 0.0000 0.0000
La 0.5000 0.5000 0.0000
Pm 0.0158 0.2674 0.3163
Pm 0.0158 0.7326 0.6837
Pm 0.9842 0.2674 0.6837
Pm 0.9842 0.7326 0.3163
Al 0.5000 0.0000 0.5000
```

Summary:
ΔE to the lowest computed polymorph   0.0 meV per atom
Electronic total energy   -4.569 eV/atom
Energy of formation from the pure elements   59.6 kJ/mol of formula units


No. 8
LaPm2Al9 after structural relaxation, computed with PBE. Values from VASP.

Geometry as Quantum ESPRESSO input:
```
&SYSTEM
  ibrav = 0, nat = 12, ntyp = 3
/
ATOMIC_SPECIES
La 138.91 La.upf
Pm 145.00 Pm.upf
Al 26.98 Al.upf
CELL_PARAMETERS angstrom
2.8426 1.6412 8.8567
-2.8426 1.6412 8.8567
0.0000 -3.2823 8.8567
ATOMIC_POSITIONS crystal
La 0.0000 0.0000 0.0000
Pm 0.1411 0.1411 0.1411
Pm 0.8589 0.8589 0.8589
Al 0.0757 0.5868 0.5868
Al 0.3354 0.3354 0.3354
Al 0.4132 0.4132 0.9243
Al 0.4132 0.9243 0.4132
Al 0.5000 0.5000 0.5000
Al 0.5868 0.0757 0.5868
Al 0.5868 0.5868 0.0757
Al 0.6646 0.6646 0.6646
Al 0.9243 0.4132 0.4132
```

Summary:
Electronic total energy   -4.418 eV/atom
Energy of formation from the pure elements   -472.9 kJ/mol of formula units


No. 9
La4PmAl after structural relaxation, computed with PBE. Values from VASP.

Geometry as Quantum ESPRESSO input:
```
&SYSTEM
  ibrav = 0, nat = 6, ntyp = 3
/
ATOMIC_SPECIES
La 138.91 La.upf
Pm 145.00 Pm.upf
Al 26.98 Al.upf
CELL_PARAMETERS angstrom
3.7467 0.0000 0.0000
0.0000 3.7467 0.0000
0.0000 0.0000 14.2039
ATOMIC_POSITIONS crystal
La 0.0000 0.0000 0.1340
La 0.0000 0.0000 0.8660
La 0.5000 0.5000 0.3188
La 0.5000 0.5000 0.6812
Pm 0.0000 0.0000 0.5000
Al 0.5000 0.5000 0.0000
```

Summary:
ΔE to the lowest computed polymorph   0.0 meV per atom
Electronic total energy   -4.800 eV/atom
Energy of formation from the pure elements   -57.4 kJ/mol of formula units


No. 10
LaPm5Al3 after structural relaxation, computed with PBE. Values from VASP.

Geometry as Quantum ESPRESSO input:
```
&SYSTEM
  ibrav = 0, nat = 18, ntyp = 3
/
ATOMIC_SPECIES
La 138.91 La.upf
Pm 145.00 Pm.upf
Al 26.98 Al.upf
CELL_PARAMETERS angstrom
9.3139 0.0000 0.0000
-4.6570 8.0661 0.0000
0.0000 0.0000 6.8634
ATOMIC_POSITIONS crystal
La 0.0000 0.0000 0.0000
La 0.0000 0.0000 0.5000
Pm 0.0000 0.3303 0.2500
Pm 0.0000 0.6697 0.7500
Pm 0.3303 0.0000 0.2500
Pm 0.3303 0.3303 0.7500
Pm 0.3333 0.6667 0.0000
Pm 0.3333 0.6667 0.5000
Pm 0.6667 0.3333 0.0000
Pm 0.6667 0.3333 0.5000
Pm 0.6697 0.0000 0.7500
Pm 0.6697 0.6697 0.2500
Al 0.0000 0.3391 0.7500
Al 0.0000 0.6609 0.2500
Al 0.3391 0.0000 0.7500
Al 0.3391 0.3391 0.2500
Al 0.6609 0.0000 0.2500
Al 0.6609 0.6609 0.7500
```

Summary:
Electronic total energy   -4.661 eV/atom
Energy of formation from the pure elements   -197.3 kJ/mol of formula units


No. 11
La12PmAl3 after structural relaxation, computed with PBE. Values from VASP.

Geometry as Quantum ESPRESSO input:
```
&SYSTEM
  ibrav = 0, nat = 16, ntyp = 3
/
ATOMIC_SPECIES
La 138.91 La.upf
Pm 145.00 Pm.upf
Al 26.98 Al.upf
CELL_PARAMETERS angstrom
5.0202 0.0000 0.0000
0.0000 5.0202 0.0000
0.0000 0.0000 20.3453
ATOMIC_POSITIONS crystal
La 0.0000 0.0000 0.0000
La 0.0000 0.0000 0.2413
La 0.0000 0.0000 0.5000
La 0.0000 0.0000 0.7587
La 0.0000 0.5000 0.1217
La 0.0000 0.5000 0.3649
La 0.0000 0.5000 0.6351
La 0.0000 0.5000 0.8783
La 0.5000 0.0000 0.1217
La 0.5000 0.0000 0.3649
La 0.5000 0.0000 0.6351
La 0.5000 0.0000 0.8783
Pm 0.5000 0.5000 0.5000
Al 0.5000 0.5000 0.0000
Al 0.5000 0.5000 0.2432
Al 0.5000 0.5000 0.7568
```

Summary:
Electronic total energy   -4.819 eV/atom
Energy of formation from the pure elements   -193.0 kJ/mol of formula units


No. 12
LaPmAl after structural relaxation, computed with PBE. Values from VASP.

Geometry as Quantum ESPRESSO input:
```
&SYSTEM
  ibrav = 0, nat = 6, ntyp = 3
/
ATOMIC_SPECIES
La 138.91 La.upf
Pm 145.00 Pm.upf
Al 26.98 Al.upf
CELL_PARAMETERS angstrom
3.3912 -3.3912 0.0000
3.3912 3.3912 0.0000
-0.0218 0.0000 8.1293
ATOMIC_POSITIONS crystal
La 0.2492 0.2492 0.1465
La 0.7508 0.7508 0.8535
Pm 0.2499 0.7501 0.5000
Pm 0.7501 0.2499 0.5000
Al 0.2510 0.2510 0.7583
Al 0.7490 0.7490 0.2417
```

Summary:
ΔE to the lowest computed polymorph   18.1 meV per atom
Electronic total energy   -4.658 eV/atom
Energy of formation from the pure elements   -53.3 kJ/mol of formula units


Which value of energy of formation from the pure elements does entry 10 give?
-197.3 kJ/mol of formula units


The highest electronic total energy belongs to which entry?
LaPm2Al9


What is the formula in the fifth record?
La2PmAl